The following is a GGA-PBE calculation of a relaxed structure of Hf4Os3Ru, from the Alexandria database.

Cell lengths 3.2506, 3.2506, 12.9962 Å; angles 90.00, 90.00, 90.00 degrees
With the nearest neighbours (Å) after each atom.
Sites, in units of the cell vectors:
Hf  0.0000  0.0000  0.1242  4 Ru 2.81, 4 Os 2.81
Hf  0.0000  0.0000  0.3747  8 Os 2.82
Hf  0.0000  0.0000  0.6253  8 Os 2.82
Hf  0.0000  0.0000  0.8758  4 Ru 2.81, 4 Os 2.81
Os  0.5000  0.5000  0.2491  8 Hf 2.81-2.82
Os  0.5000  0.5000  0.5000  8 Hf 2.82
Os  0.5000  0.5000  0.7509  8 Hf 2.81-2.82
Ru  0.5000  0.5000  0.0000  8 Hf 2.81

Output
Its total energy is -11.075 eV/atom. Its formation energy is -5.82 eV per formula unit. The value obtained for the total magnetization is 0.00 μB per cell.